Crystalline TaZnTe2N at its relaxed geometry, computed with GGA-PBE.

Cell: 5.576 5.576 3.904 Å, 90.00 90.00 90.00°
Fractional coordinates of all 5 atoms:
Zn: 0.500 0.500 0.500
N: 0.000 0.000 0.500
Ta: 0.000 0.000 0.000
Te: 0.000 0.500 0.000
Te: 0.500 0.000 0.000

Polymorph energy (0 for the lowest one) (eV/atom): 0.000
Space-group type: No. 123
Uncorrected energy (eV/atom): -5.38